Entry 1:
# Ba2Li3TbF12

A geometry-optimized Ba2Li3TbF12 structure (PBE-GGA, Alexandria via LeMat-Bulk).

Unit cell a=7.1316 b=7.1316 c=7.1316 alpha=59.03 beta=59.03 gamma=59.03
Positions (direct):
Ba: 0.1069 0.1069 0.1069
Ba: 0.8931 0.8931 0.8931
Li: 0.0000 0.5000 0.5000
Li: 0.5000 0.0000 0.5000
Li: 0.5000 0.5000 0.0000
Tb: 0.5000 0.5000 0.5000
F: 0.0989 0.6364 0.6364
F: 0.2264 0.2264 0.6441
F: 0.2264 0.6441 0.2264
F: 0.3559 0.7736 0.7736
F: 0.3636 0.3636 0.9011
F: 0.3636 0.9011 0.3636
F: 0.6364 0.0989 0.6364
F: 0.6364 0.6364 0.0989
F: 0.6441 0.2264 0.2264
F: 0.7736 0.3559 0.7736
F: 0.7736 0.7736 0.3559
F: 0.9011 0.3636 0.3636

Values from the calculation:
DFT total energy in eV/cell: -91.7
ΔE_f (raw) in kJ/mol of atoms: -294.9
Space group: R-3m, No. 166

Entry 2:
# Pr2SnBr

A geometry-optimized Pr2SnBr structure (PBE-GGA, Alexandria via LeMat-Bulk).

Unit cell a=8.2303 b=8.2303 c=8.2303 alpha=31.25 beta=31.25 gamma=31.25
Positions (direct):
Pr: 0.0000 0.0000 0.0000
Pr: 0.1845 0.1845 0.1845
Sn: 0.5930 0.5930 0.5930
Br: 0.4224 0.4224 0.4224

Values from the calculation:
DFT total energy in eV/cell: -19.0
ΔE_f (raw) in kJ/mol of atoms: -91.6
Space group: R3m, No. 160

Entry 3:
# ZnSiIr2

A geometry-optimized ZnSiIr2 structure (PBE-GGA, Alexandria via LeMat-Bulk).

Unit cell a=5.0668 b=5.0668 c=5.0668 alpha=147.54 beta=123.25 gamma=66.92
Positions (direct):
Zn: 0.0000 0.0000 0.0000
Si: 0.5000 0.5000 0.0000
Ir: 0.2744 0.7744 0.5000
Ir: 0.7256 0.2256 0.5000

Values from the calculation:
DFT total energy in eV/cell: -25.2
ΔE_f (raw) in kJ/mol of atoms: -18.9
Space group: Immm, No. 71

Entry 4:
# Li4U3PtS8

A geometry-optimized Li4U3PtS8 structure (PBE-GGA, Alexandria via LeMat-Bulk).

Unit cell a=7.7023 b=7.7023 c=7.6220 alpha=119.04 beta=119.04 gamma=56.71
Positions (direct):
Li: 0.0000 0.0000 0.0000
Li: 0.0000 0.5000 0.0000
Li: 0.5000 0.0000 0.0000
Li: 0.5000 0.5000 0.0000
U: 0.0000 0.0000 0.5000
U: 0.0000 0.5000 0.5000
U: 0.5000 0.0000 0.5000
Pt: 0.5000 0.5000 0.5000
S: 0.2136 0.2136 0.2097
S: 0.2433 0.2433 0.7591
S: 0.2696 0.7195 0.7318
S: 0.2805 0.7304 0.2682
S: 0.7195 0.2696 0.7318
S: 0.7304 0.2805 0.2682
S: 0.7567 0.7567 0.2409
S: 0.7864 0.7864 0.7903

Values from the calculation:
DFT total energy in eV/cell: -99.8
ΔE_f (raw) in kJ/mol of atoms: -116.1
Space group: C2/m, No. 12